# 1
## CePmNd (PBE)

Data for an optimized crystal structure of CePmNd.

For the energy of formation, the calculation gives 0.20 eV per formula unit. For the energy relative to the lowest polymorph listed for this composition, the calculation gives 0.000 eV per atom. The density of states at the Fermi level is 17.66 states/eV per cell. As for the crystal system: trigonal. The calculation puts the size of the total moment at 0.3 μB/f.u. Its uncorrected energy is -5.08 eV/atom.

The space group is R3m (No. 160, hexagonal axes) and the conventional cell measures 3.6109, 3.6109 and 26.0481 Å, with angles of 90.00, 90.00 and 120.00 degrees. Symmetry generates all atoms from Ce at (0.0000, 0.0000, 0.0000), Pm at (0.0000, 0.0000, 0.7737) and Nd at (0.0000, 0.0000, 0.2256).

# 2
## CePm6Nd (PBE)

Data for an optimized crystal structure of CePm6Nd.

For the energy of formation, the calculation gives 0.40 eV per formula unit. For the energy relative to the lowest polymorph listed for this composition, the calculation gives 0.004 eV per atom. The density of states at the Fermi level is 67.45 states/eV per cell. As for the crystal system: orthorhombic. The calculation puts the size of the total moment at 1.2 μB/f.u. Its uncorrected energy is -4.85 eV/atom.

The space group is Fmmm (No. 69) and the conventional cell measures 7.2972, 10.2954 and 14.5513 Å, with angles of 90.00, 90.00 and 90.00 degrees. Symmetry generates all atoms from Ce at (0.0000, 0.0000, 0.0000), Pm at (0.0000, 0.0000, 0.2472), Pm at (0.2500, 0.2500, 0.1234) and Nd at (0.0000, 0.0000, 0.5000).

# 3
## Ce4PmNd (PBE)

Data for an optimized crystal structure of Ce4PmNd.

For the energy of formation, the calculation gives 1.22 eV per formula unit. The density of states at the Fermi level is 73.83 states/eV per cell. As for the crystal system: cubic. The calculation puts the size of the total moment at 4.7 μB/f.u. Its uncorrected energy is -5.34 eV/atom.

The space group is F-43m (No. 216) and the conventional cell measures 9.0133, 9.0133 and 9.0133 Å, with angles of 90.00, 90.00 and 90.00 degrees. Symmetry generates all atoms from Ce at (0.1237, 0.1237, 0.1237), Pm at (0.2500, 0.2500, 0.7500) and Nd at (0.0000, 0.0000, 0.5000).

# 4
## CePm6Nd (PBE)

Data for an optimized crystal structure of CePm6Nd.

For the energy of formation, the calculation gives 0.36 eV per formula unit. For the energy relative to the lowest polymorph listed for this composition, the calculation gives 0.000 eV per atom. The density of states at the Fermi level is 14.78 states/eV per cell. As for the crystal system: tetragonal. The calculation puts the size of the total moment at 0.8 μB/f.u. Its uncorrected energy is -4.86 eV/atom.

The space group is P4/mmm (No. 123) and the conventional cell measures 5.1458, 5.1458 and 10.2842 Å, with angles of 90.00, 90.00 and 90.00 degrees. Symmetry generates all atoms from Ce at (0.0000, 0.0000, 0.0000), Pm at (0.0000, 0.5000, 0.2461), Pm at (0.5000, 0.5000, 0.0000), Pm at (0.5000, 0.5000, 0.5000) and Nd at (0.0000, 0.0000, 0.5000).

# 5
## CePmNd2 (PBE)

Data for an optimized crystal structure of CePmNd2.

For the energy of formation, the calculation gives 0.26 eV per formula unit. For the energy relative to the lowest polymorph listed for this composition, the calculation gives 0.001 eV per atom. The density of states at the Fermi level is 7.81 states/eV per cell. As for the crystal system: tetragonal. The calculation puts the size of the total moment at 0.6 μB/f.u. Its uncorrected energy is -4.99 eV/atom.

The space group is P4/mmm (No. 123) and the conventional cell measures 3.5935, 3.5935 and 10.3470 Å, with angles of 90.00, 90.00 and 90.00 degrees. Symmetry generates all atoms from Ce at (0.0000, 0.0000, 0.0000), Pm at (0.0000, 0.0000, 0.5000) and Nd at (0.5000, 0.5000, 0.2390).

# 6
## Ce2PmNd (PBE)

Data for an optimized crystal structure of Ce2PmNd.

For the energy of formation, the calculation gives 0.47 eV per formula unit. For the energy relative to the lowest polymorph listed for this composition, the calculation gives 0.000 eV per atom. The density of states at the Fermi level is 32.11 states/eV per cell. As for the crystal system: trigonal. The calculation puts the size of the total moment at 1.4 μB/f.u. Its uncorrected energy is -5.23 eV/atom.

The space group is R3m (No. 160, hexagonal axes) and the conventional cell measures 3.5440, 3.5440 and 35.1736 Å, with angles of 90.00, 90.00 and 120.00 degrees. Symmetry generates all atoms from Ce at (0.0000, 0.0000, 0.0000), Ce at (0.0000, 0.0000, 0.1660), Pm at (0.0000, 0.0000, 0.7507) and Nd at (0.0000, 0.0000, 0.5814).

# 7
## CePm4Nd (PBE)

Data for an optimized crystal structure of CePm4Nd.

For the energy of formation, the calculation gives 1.92 eV per formula unit. For the energy relative to the lowest polymorph listed for this composition, the calculation gives 0.109 eV per atom. The density of states at the Fermi level is 69.22 states/eV per cell. As for the crystal system: cubic. The calculation puts the size of the total moment at 2.2 μB/f.u. Its uncorrected energy is -4.63 eV/atom.

The space group is F-43m (No. 216) and the conventional cell measures 9.4636, 9.4636 and 9.4636 Å, with angles of 90.00, 90.00 and 90.00 degrees. Symmetry generates all atoms from Ce at (0.0000, 0.0000, 0.0000), Pm at (0.1249, 0.1249, 0.6249) and Nd at (0.2500, 0.2500, 0.2500).

# 8
## Ce2PmNd (PBE)

Data for an optimized crystal structure of Ce2PmNd.

For the energy of formation, the calculation gives 1.09 eV per formula unit. For the energy relative to the lowest polymorph listed for this composition, the calculation gives 0.157 eV per atom. The density of states at the Fermi level is 65.18 states/eV per cell. As for the crystal system: cubic. The calculation puts the size of the total moment at 3.8 μB/f.u. Its uncorrected energy is -5.07 eV/atom.

The space group is Fm-3m (No. 225) and the conventional cell measures 8.1042, 8.1042 and 8.1042 Å, with angles of 90.00, 90.00 and 90.00 degrees. Symmetry generates all atoms from Ce at (0.2500, 0.2500, 0.2500), Pm at (0.0000, 0.0000, 0.0000) and Nd at (0.0000, 0.0000, 0.5000).

# 9
## CePm2Nd2 (PBE)

Data for an optimized crystal structure of CePm2Nd2.

For the energy of formation, the calculation gives 1.97 eV per formula unit. The density of states at the Fermi level is 25.35 states/eV per cell. As for the crystal system: tetragonal. The calculation puts the size of the total moment at 0.9 μB/f.u. Its uncorrected energy is -4.60 eV/atom.

The space group is I4/mmm (No. 139) and the conventional cell measures 4.6483, 4.6483 and 16.6785 Å, with angles of 90.00, 90.00 and 90.00 degrees. Symmetry generates all atoms from Ce at (0.0000, 0.0000, 0.0000), Pm at (0.0000, 0.0000, 0.4075) and Nd at (0.0000, 0.5000, 0.2500).

# 10
## CePm4Nd15 (PBE)

Data for an optimized crystal structure of CePm4Nd15.

For the energy of formation, the calculation gives 0.56 eV per formula unit. The density of states at the Fermi level is 33.92 states/eV per cell. As for the crystal system: tetragonal. The calculation puts the size of the total moment at 1.3 μB/f.u. Its uncorrected energy is -4.79 eV/atom.

The space group is P4/mmm (No. 123) and the conventional cell measures 5.1966, 5.1966 and 25.9264 Å, with angles of 90.00, 90.00 and 90.00 degrees. Symmetry generates all atoms from Ce at (0.0000, 0.0000, 0.0000), Pm at (0.0000, 0.0000, 0.1992), Pm at (0.0000, 0.0000, 0.3998), Nd at (0.0000, 0.5000, 0.0982), Nd at (0.0000, 0.5000, 0.2993), Nd at (0.0000, 0.5000, 0.5000), Nd at (0.5000, 0.5000, 0.0000), Nd at (0.5000, 0.5000, 0.2001) and Nd at (0.5000, 0.5000, 0.4000).

# 11
## CePm7Nd12 (PBE)

Data for an optimized crystal structure of CePm7Nd12.

For the energy of formation, the calculation gives 5.67 eV per formula unit. For the energy relative to the lowest polymorph listed for this composition, the calculation gives 0.156 eV per atom. The density of states at the Fermi level is 85.94 states/eV per cell. As for the crystal system: trigonal. The calculation puts the size of the total moment at 1.1 μB/f.u. Its uncorrected energy is -4.54 eV/atom.

The space group is R-3 (No. 148, hexagonal axes) and the conventional cell measures 18.9128, 18.9128 and 6.9293 Å, with angles of 90.00, 90.00 and 120.00 degrees. Symmetry generates all atoms from Ce at (0.0000, 0.0000, 0.0000), Pm at (0.0000, 0.0000, 0.5000), Pm at (0.0088, 0.1539, 0.7869), Nd at (0.0005, 0.7854, 0.7012) and Nd at (0.0091, 0.5393, 0.7406).

# 12
## CePmNd2 (PBE)

Data for an optimized crystal structure of CePmNd2.

For the energy of formation, the calculation gives 0.81 eV per formula unit. For the energy relative to the lowest polymorph listed for this composition, the calculation gives 0.140 eV per atom. The density of states at the Fermi level is 45.77 states/eV per cell. As for the crystal system: cubic. The calculation puts the size of the total moment at 3.0 μB/f.u. Its uncorrected energy is -4.85 eV/atom.

The space group is Fm-3m (No. 225) and the conventional cell measures 8.1972, 8.1972 and 8.1972 Å, with angles of 90.00, 90.00 and 90.00 degrees. Symmetry generates all atoms from Ce at (0.0000, 0.0000, 0.0000), Pm at (0.0000, 0.0000, 0.5000) and Nd at (0.2500, 0.2500, 0.2500).